P) Material: YSeOF2
Method: DFT, PBE
State: optimized geometry

Total magnetization = 0.000 μB per atom

Lattice parameters (Å, degrees): 4.7933 4.7933 3.7658 90.00 90.00 90.00
Space group P4/mmm (No. 123)
Symmetry-distinct sites (fractional):
Y 0.0000 0.0000 0.0000 x1
Se 0.5000 0.5000 0.5000 x1
O 0.5000 0.5000 0.0000 x1
F 0.0000 0.5000 0.5000 x2

Q) Material: YSeOF2
Method: DFT, PBE
State: optimized geometry

Total magnetization = 0.582 μB per atom

Lattice parameters (Å, degrees): 4.4199 4.4199 4.5398 90.00 90.00 90.00
Space group P4/mmm (No. 123)
Symmetry-distinct sites (fractional):
Y 0.0000 0.0000 0.0000 x1
Se 0.5000 0.5000 0.5000 x1
O 0.0000 0.0000 0.5000 x1
F 0.0000 0.5000 0.0000 x2

Result of the stability comparison: P) is the least stable of them.

P) Material: SiO2F2
Method: DFT, PBE
State: optimized geometry

Total magnetization = 0.000 μB per atom

Lattice parameters (Å, degrees): 3.8374 3.8374 3.6727 90.00 90.00 90.00
Space group P4/mmm (No. 123)
Symmetry-distinct sites (fractional):
Si 0.0000 0.0000 0.0000 x1
O 0.5000 0.5000 0.0000 x1
O 0.5000 0.5000 0.5000 x1
F 0.0000 0.5000 0.5000 x2

Q) Material: SiO2F2
Method: DFT, PBE
State: optimized geometry

Total magnetization = 0.000 μB per atom

Lattice parameters (Å, degrees): 3.5144 3.5144 4.5407 90.00 90.00 90.00
Space group P4/mmm (No. 123)
Symmetry-distinct sites (fractional):
Si 0.0000 0.0000 0.0000 x1
O 0.0000 0.5000 0.5000 x2
F 0.5000 0.5000 0.0000 x1
F 0.5000 0.5000 0.5000 x1

Result of the stability comparison: Q) is the least stable of them.

P) Material: SiO2F2
Method: DFT, PBE
State: optimized geometry

Total magnetization = 0.000 μB per atom

Lattice parameters (Å, degrees): 2.6774 2.6774 17.2255 90.00 90.00 90.00
Space group I4/mmm (No. 139)
Symmetry-distinct sites (fractional):
Si 0.0000 0.0000 0.0000 x2
O 0.0000 0.5000 0.2500 x4
F 0.0000 0.0000 0.4248 x4

Q) Material: SiO2F2
Method: DFT, PBE
State: optimized geometry

Total magnetization = 0.342 μB per atom

Lattice parameters (Å, degrees): 5.4849 5.4849 5.2803 90.00 90.00 90.00
Space group P4/mbm (No. 127)
Symmetry-distinct sites (fractional):
Si 0.0000 0.0000 0.0000 x2
O 0.0806 0.4194 0.5000 x4
F 0.2283 0.7283 0.0000 x4

R) Material: SiO2F2
Method: DFT, PBE
State: optimized geometry

Total magnetization = 0.400 μB per atom

Lattice parameters (Å, degrees): 3.7031 3.7031 3.3328 90.00 90.00 90.00
Space group P4/mmm (No. 123)
Symmetry-distinct sites (fractional):
Si 0.0000 0.0000 0.0000 x1
O 0.0000 0.0000 0.5000 x1
O 0.5000 0.5000 0.5000 x1
F 0.0000 0.5000 0.0000 x2

S) Material: SiO2F2
Method: DFT, PBE
State: optimized geometry

Total magnetization = 0.400 μB per atom

Lattice parameters (Å, degrees): 3.5026 3.5026 3.5759 90.00 90.00 90.00
Space group P4/mmm (No. 123)
Symmetry-distinct sites (fractional):
Si 0.0000 0.0000 0.0000 x1
O 0.0000 0.5000 0.0000 x2
F 0.0000 0.0000 0.5000 x1
F 0.5000 0.5000 0.5000 x1

Result of the stability comparison: P) is the least stable of them.

P) Material: SiOF3
Method: DFT, PBE
State: optimized geometry

Total magnetization = 0.274 μB per atom

Lattice parameters (Å, degrees): 3.6528 3.6528 3.6528 90.00 90.00 90.00
Space group Pm-3m (No. 221)
Symmetry-distinct sites (fractional):
Si 0.0000 0.0000 0.0000 x1
O 0.5000 0.5000 0.5000 x1
F 0.0000 0.0000 0.5000 x3

Q) Material: SiOF3
Method: DFT, PBE
State: optimized geometry

Total magnetization = 0.000 μB per atom

Lattice parameters (Å, degrees): 3.9020 3.9020 3.9020 90.00 90.00 90.00
Space group Pm-3m (No. 221)
Symmetry-distinct sites (fractional):
Si 0.0000 0.0000 0.0000 x1
O 0.5000 0.5000 0.5000 x1
F 0.0000 0.5000 0.5000 x3

Result of the stability comparison: Q) is the least stable of them.